Material: ReSb3Au
Method: DFT, SCAN
State: single point on PBEsol structure

Properties
- E_form (uncorrected) (eV per atom) = 0.76
- theoretical density (g/cm3) = 9.43
- total magnetic moment (μB/atom) = 0.00

The structure in CIF format:
```
data_ReSb3Au
_symmetry_space_group_name_H-M 'P m -3 m'
_symmetry_Int_Tables_number 221
_symmetry_space_group_name_Hall '-P 4 2 3'
_cell_length_a 5.088
_cell_length_b 5.088
_cell_length_c 5.088
_cell_angle_alpha 90.00
_cell_angle_beta 90.00
_cell_angle_gamma 90.00
loop_
_atom_site_label
_atom_site_type_symbol
_atom_site_fract_x
_atom_site_fract_y
_atom_site_fract_z
Re1 Re 0.000 0.000 0.000
Sb1 Sb 0.000 0.000 0.500
Au1 Au 0.500 0.500 0.500
```